First-principles (PBE) data for a relaxed structure of RbYHgF6, as listed in Alexandria.

Results
Spin magnetization in μB/f.u.: 0.00
Crystal system: orthorhombic
Space group: Imma, No. 74
Formation energy (no corrections) in eV per atom: -2.879

Cell lengths 8.4857, 7.8056, 8.2914 Å; angles 118.08, 120.78, 90.00 degrees
Sites, in units of the cell vectors:
F: 0.4171 0.0843 0.2579
F: 0.8408 0.0843 0.2579
F: 0.5829 0.9157 0.7421
F: 0.5829 0.3265 0.7421
F: 0.4061 0.6561 0.8122
F: 0.1592 0.3265 0.7421
F: 0.7971 0.0471 0.5941
F: 0.2029 0.9529 0.4059
F: 0.8408 0.6735 0.2579
F: 0.1592 0.9157 0.7421
F: 0.5939 0.3439 0.1878
F: 0.4171 0.6735 0.2579
Rb: 0.1698 0.4198 0.3396
Rb: 0.8302 0.5802 0.6604
Hg: 0.5000 0.0000 0.0000
Hg: 0.5000 0.5000 0.0000
Y: 0.5000 0.0000 0.5000
Y: 0.0000 0.0000 0.5000

---

First-principles (PBE) data for a relaxed structure of Rb3Zn2HgF9, as listed in Alexandria.

Results
Spin magnetization in μB/f.u.: 0.00
Crystal system: trigonal
Space group: P-3m1, No. 164
Formation energy (no corrections) in eV per atom: -2.356

Cell lengths 6.0988, 6.0988, 7.5297 Å; angles 90.00, 90.00, 120.00 degrees
Sites, in units of the cell vectors:
F: 0.6470 0.8235 0.3155
F: 0.8235 0.6470 0.6845
F: 0.5000 0.0000 0.0000
F: 0.1765 0.3530 0.3155
F: 0.0000 0.5000 0.0000
F: 0.5000 0.5000 0.0000
F: 0.3530 0.1765 0.6845
F: 0.1765 0.8235 0.3155
F: 0.8235 0.1765 0.6845
Rb: 0.0000 0.0000 0.0000
Rb: 0.3333 0.6667 0.6681
Rb: 0.6667 0.3333 0.3319
Zn: 0.6667 0.3333 0.8480
Zn: 0.3333 0.6667 0.1520
Hg: 0.0000 0.0000 0.5000